<P>
DFT (PBE) results for an optimized crystal structure of Re2BiH.

## Properties
DOS(E_F): 0.4114 states/eV/atom

Geometry as extended XYZ:
```
8
Lattice="-4.9772 0.6841 0.6057 -0.9055 -4.1403 -2.7651 -2.8211 -4.5221 3.0644" Properties=species:S:1:pos:R:3 pbc="T T T"
Re -7.0943 -5.6433 0.9247
Bi -5.3698 -2.7831 1.2952
Bi 0.0000 0.0000 0.0000
Re -3.0005 -1.3482 0.6860
Re -4.4908 -5.4602 0.9726
Re -2.8221 -3.5051 -0.7734
H -2.9414 -1.7281 -1.0797
H -3.3340 -5.1953 -0.3902
```

***

<Q>
DFT (PBE) results for an optimized crystal structure of Re2BiH.

## Properties
DOS(E_F): 1.6040 states/eV/atom

Geometry as extended XYZ:
```
4
Lattice="-1.1763 2.8801 3.1896 -3.2288 2.9737 -0.7639 -3.9410 -0.4181 2.0361" Properties=species:S:1:pos:R:3 pbc="T T T"
Bi -4.1731 2.7179 2.2309
Re -2.0865 1.3589 1.1155
H 0.0000 0.0000 0.0000
Re -6.2596 4.0768 3.3464
```

***

Of them, <Q> has the lowest stability.

***

<P>
DFT (PBE) results for an optimized crystal structure of BiHRh3.

## Properties
DOS(E_F): 1.0051 states/eV/atom

Geometry as extended XYZ:
```
20
Lattice="-6.7588 -14.1649 -18.7137 -2.4267 -2.9230 3.0890 0.1923 5.9157 5.7490" Properties=species:S:1:pos:R:3 pbc="T T T"
Rh -3.1877 -6.4203 -7.8328
Rh -5.1016 -6.5254 -5.7096
Rh -2.1575 -0.7953 0.7065
Rh -6.8357 -10.3770 -10.5822
Bi -3.3913 -2.9152 -0.7462
H -5.5870 -5.7262 -3.5982
Rh -3.8915 -4.6468 -4.1661
Rh -2.6613 -3.4161 1.8456
Bi -7.5826 -13.8175 -12.0666
Rh -4.1190 -1.2508 2.6152
Bi -5.6018 -8.2570 -9.1295
Rh -6.3319 -7.7561 -11.7213
H -3.4062 -5.4460 -6.2774
Rh -4.8742 -9.9214 -12.4909
Rh -7.2172 -11.4439 -13.3652
Rh -1.7759 0.2717 3.4895
Bi -1.4106 2.6453 2.1909
H -6.9323 -9.8632 -12.4506
H -2.0608 -1.3090 2.5749
Rh -5.8055 -4.7519 -2.0429
```

***

<Q>
DFT (PBE) results for an optimized crystal structure of BiHRh3.

## Properties
DOS(E_F): 0.6443 states/eV/atom

Geometry as extended XYZ:
```
10
Lattice="-0.6780 1.1087 -4.3793 -3.5730 -0.7365 2.7492 -0.0781 7.7156 1.9655" Properties=species:S:1:pos:R:3 pbc="T T T"
Rh -0.0195 1.9289 0.4914
H 0.0000 0.0000 0.0000
Rh -1.6881 4.9465 -0.8688
Rh -0.0586 5.7867 1.4741
Rh -2.6410 3.1413 1.2042
Rh -2.6140 0.4737 0.5246
Bi -1.6625 2.4225 -1.5118
H -0.0390 3.8578 0.9827
Bi -2.6666 5.6653 1.8471
Rh -1.7151 7.6141 -0.1892
```

***

<R>
DFT (PBE) results for an optimized crystal structure of BiHRh3.

## Properties
DOS(E_F): 1.0598 states/eV/atom

Geometry as extended XYZ:
```
10
Lattice="16.9486 0.0000 -2.5996 6.6528 1.9289 -3.3256 -6.6528 1.9289 3.3256" Properties=species:S:1:pos:R:3 pbc="T T T"
Rh -1.2374 1.9289 0.6497
H 16.3438 1.9289 -3.8475
Bi 7.1793 1.9289 0.6825
Rh 9.6965 1.9289 -0.5061
Rh 7.2521 1.9289 -2.0935
Rh 12.1046 1.9289 -1.8610
H 0.6048 1.9289 1.2479
Bi 9.7693 1.9289 -3.2821
Rh 4.8440 1.9289 -0.7386
Rh 18.1860 1.9289 -3.2493
```

***

<S>
DFT (PBE) results for an optimized crystal structure of BiHRh3.

## Properties
DOS(E_F): 0.7234 states/eV/atom

Geometry as extended XYZ:
```
20
Lattice="-1.8475 -3.8352 3.0512 1.4555 -4.8856 -5.2595 7.0995 -1.0678 2.9566" Properties=species:S:1:pos:R:3 pbc="T T T"
Rh 1.9669 -6.7319 -0.8529
H 3.0897 -3.6644 1.7088
Rh 4.6553 -5.1003 3.4759
Rh 4.7406 -3.0567 1.6011
Bi 4.2775 -2.9767 -1.1515
Rh 6.6744 -3.9005 -0.3537
Rh 5.0258 -7.3802 -1.2306
Rh 2.0522 -4.6882 -2.7276
H 5.5372 -6.0890 4.6383
Rh -0.4881 -4.1385 2.9855
Bi 3.5498 -0.5339 1.4783
Rh 2.2030 -4.1579 0.0953
Rh 4.5045 -5.6307 0.6529
Bi -0.1960 -4.3604 -1.1042
Bi -0.9237 -1.9176 1.5256
H 3.6178 -6.1241 -0.9605
H 1.1704 -3.6995 -3.8900
Rh 1.6818 -2.4083 1.9788
Rh 7.1956 -5.6501 -2.2372
Rh 0.0332 -5.8880 1.1020
```

***

Of them, <Q> has the lowest stability.

***

<P>
DFT (PBE) results for an optimized crystal structure of BiHRh3.

## Properties
DOS(E_F): 0.6657 states/eV/atom

Geometry as extended XYZ:
```
5
Lattice="4.0789 0.0000 0.0000 0.0000 4.0789 0.0000 0.0000 0.0000 4.0789" Properties=species:S:1:pos:R:3 pbc="T T T"
Rh 0.0000 2.0394 0.0000
H 0.0000 0.0000 0.0000
Rh 2.0394 0.0000 0.0000
Rh 0.0000 0.0000 2.0394
Bi 2.0394 2.0394 2.0394
```

***

<Q>
DFT (PBE) results for an optimized crystal structure of BiHRh3.

## Properties
DOS(E_F): 1.3846 states/eV/atom

Geometry as extended XYZ:
```
10
Lattice="15.9260 0.0000 -2.3833 6.2395 2.1693 -3.0386 -6.2395 2.1693 3.0386" Properties=species:S:1:pos:R:3 pbc="T T T"
Rh 2.6542 2.1693 -0.7017
Rh 5.6607 2.1693 0.2107
Rh 13.2718 2.1693 -1.6816
Rh 7.5000 2.1693 -2.5012
Bi -0.0380 2.1693 1.6480
H -3.6304 2.1693 2.2802
Rh 10.2653 2.1693 -2.5940
Bi 15.9640 2.1693 -4.0314
Rh 8.4260 2.1693 0.1179
H 19.5564 2.1693 -4.6635
```

***

Of them, <Q> has the lowest stability.

***

<P>
DFT (PBE) results for an optimized crystal structure of BiHRh3.

## Properties
DOS(E_F): 0.9169 states/eV/atom

Geometry as extended XYZ:
```
20
Lattice="-3.0729 16.6883 -0.4384 -0.9933 -0.0377 5.5271 4.0900 -5.8487 0.6951" Properties=species:S:1:pos:R:3 pbc="T T T"
Rh -1.7639 13.6783 4.0446
Rh 1.6778 -0.2070 3.1693
Rh 1.7877 -2.8764 1.7391
Bi 0.1987 9.2572 3.9873
H 2.5164 -1.2671 1.9800
Rh -1.6540 11.0090 2.6145
Rh 1.8137 2.4096 4.6328
Rh 0.1683 4.4003 1.8334
Rh -2.3946 11.0429 5.3345
H -1.0268 10.0028 1.2001
Rh 0.7975 9.8247 1.2901
Rh 2.4184 -0.2409 0.4492
Rh -0.1445 6.4017 3.9503
H -2.4926 12.0691 3.8037
Bi -0.4460 3.8322 4.6163
Rh -0.7737 0.9773 4.4937
Bi -0.1749 1.5447 1.7965
H 1.0506 0.7991 4.5836
Bi 0.4698 6.9697 1.1675
Rh -1.7899 8.3923 1.1510
```

***

<Q>
DFT (PBE) results for an optimized crystal structure of BiHRh3.

## Properties
DOS(E_F): 1.0198 states/eV/atom

Geometry as extended XYZ:
```
10
Lattice="4.3189 0.0000 0.0569 0.0000 5.6256 0.0000 -1.9955 0.0000 6.3818" Properties=species:S:1:pos:R:3 pbc="T T T"
H 3.5662 1.4064 1.9771
Rh 3.2323 5.6070 0.8585
Rh 1.0950 1.4064 1.5655
Bi 1.2734 1.4064 4.3384
Rh -0.9089 0.0185 5.5802
H -1.2428 4.2192 4.4616
Rh 1.2283 4.2192 4.8732
Rh -0.9089 2.7943 5.5802
Rh 3.2323 2.8313 0.8585
Bi 1.0499 4.2192 2.1003
```

***

<R>
DFT (PBE) results for an optimized crystal structure of BiHRh3.

## Properties
DOS(E_F): 1.3448 states/eV/atom

Geometry as extended XYZ:
```
5
Lattice="2.8908 0.0000 0.0000 0.0000 2.6348 -6.4548 0.0000 2.6348 6.4548" Properties=species:S:1:pos:R:3 pbc="T T T"
Rh 0.0000 2.6348 2.8965
Rh 1.4454 1.2530 1.1607
Rh 1.4454 4.0165 1.1607
H 0.0000 2.6348 0.8352
Bi 1.4454 2.6348 5.2033
```

***

Of them, <R> has the lowest stability.

***

<P>
DFT (PBE) results for an optimized crystal structure of BiHRh3.

## Properties
DOS(E_F): 1.5836 states/eV/atom

Geometry as extended XYZ:
```
5
Lattice="3.8801 0.0000 0.0000 0.0000 3.8801 0.0000 0.0000 0.0000 6.3065" Properties=species:S:1:pos:R:3 pbc="T T T"
Rh 0.0000 0.0000 4.5908
Rh 0.0000 1.9400 2.8941
Bi 0.0000 0.0000 0.9105
Rh 1.9400 0.0000 2.8941
H 1.9400 1.9400 2.9867
```

***

<Q>
DFT (PBE) results for an optimized crystal structure of BiHRh3.

## Properties
DOS(E_F): 1.0711 states/eV/atom

Geometry as extended XYZ:
```
10
Lattice="5.6508 0.0039 -0.0167 -2.7306 4.9486 0.0312 -1.6514 -2.3794 4.9910" Properties=species:S:1:pos:R:3 pbc="T T T"
Rh -2.9562 1.0199 4.6054
Rh 2.1342 -0.3627 2.0007
Rh -0.6374 -0.3396 2.6349
Bi 0.8563 2.1160 2.6392
Bi 1.2008 -1.4318 4.5843
Rh 0.0640 0.8635 0.2233
H 3.4438 0.5891 2.8217
Rh -2.0063 2.1961 2.0259
H -1.3867 0.0950 4.4017
Rh 1.5744 3.4262 0.2318
```

***

<R>
DFT (PBE) results for an optimized crystal structure of BiHRh3.

## Properties
DOS(E_F): 1.9983 states/eV/atom

Geometry as extended XYZ:
```
20
Lattice="-6.6891 2.0583 -6.8818 0.1882 -2.8051 -7.4090 2.9834 -7.2204 1.3276" Properties=species:S:1:pos:R:3 pbc="T T T"
Bi -0.6081 -6.5895 -3.8633
H -3.3658 -2.5702 -4.8030
Rh -2.2613 -1.5668 -3.5709
Rh 1.8031 -6.5277 -5.4043
Rh 0.7186 -3.9574 -6.7310
Bi 0.7434 -3.5286 -3.6489
H -0.1517 -5.3971 -8.1601
Rh 0.2115 -1.2806 -2.1025
H -2.5565 -5.1284 -6.3548
Rh -2.6777 -1.6909 -6.4165
Bi -4.2609 -4.4386 -9.3142
Rh -5.3206 -1.4395 -7.5588
Rh -1.2562 -6.4004 -9.3922
H -0.9610 -2.8388 -6.6083
Rh -0.8398 -6.2763 -6.5466
Bi -2.9095 -1.3777 -9.0999
Rh -1.8975 -4.0694 -7.9106
Rh -1.6201 -3.8978 -5.0525
Rh -3.7290 -6.6866 -10.8607
Rh -4.2361 -4.0098 -6.2322
```

***

<S>
DFT (PBE) results for an optimized crystal structure of BiHRh3.

## Properties
DOS(E_F): 1.6767 states/eV/atom

Geometry as extended XYZ:
```
20
Lattice="0.6606 2.8494 6.9144 -5.7479 3.7050 3.0982 -3.8042 -3.0632 5.7017" Properties=species:S:1:pos:R:3 pbc="T T T"
Rh -3.6248 0.5103 10.8575
Rh -1.7417 0.1487 5.6872
Rh -2.4600 2.6498 4.7251
Rh -0.3359 1.2807 3.5802
Bi -5.8875 0.7573 6.3643
Bi -5.5572 2.1820 9.8215
H -1.1114 0.4364 1.9643
Bi -3.6551 3.7136 6.9706
Rh -4.0413 -1.2862 6.4982
H -3.9854 2.2889 3.5134
Rh -4.1099 0.4649 4.2770
Rh -5.2667 2.9809 4.8568
Rh -1.9858 -0.9042 3.1321
Bi -2.6832 0.3295 8.2723
Rh -2.7041 1.5969 2.1700
H -0.7811 1.8611 5.4215
H -3.0135 -1.0952 4.8151
Rh -7.6651 1.0497 8.4516
Rh -4.8502 4.7774 9.2161
Rh -1.2264 2.4415 7.2628
```

***

Of them, <P> has the lowest stability.

***

<P>
DFT (PBE) results for an optimized crystal structure of BiHRh3.

## Properties
DOS(E_F): 1.1010 states/eV/atom

Geometry as extended XYZ:
```
10
Lattice="-5.7334 3.8458 2.4090 -1.4137 5.8855 4.1021 -2.8887 6.6826 -0.6808" Properties=species:S:1:pos:R:3 pbc="T T T"
Bi -6.6880 10.9384 3.8854
Rh -5.0782 8.8436 4.8343
Rh -5.4166 6.3556 3.6260
Rh -7.0135 8.4292 2.6696
Rh -4.6193 10.0584 2.2043
Rh -4.9577 7.5703 0.9960
Bi -3.3479 5.4755 1.9449
Rh -3.0224 7.9847 3.1607
H -0.7651 1.2514 0.4445
H -9.2707 15.1625 5.3858
```

***

<Q>
DFT (PBE) results for an optimized crystal structure of BiHRh3.

## Properties
DOS(E_F): 1.0919 states/eV/atom

Geometry as extended XYZ:
```
20
Lattice="12.9956 0.0000 -0.7980 5.5680 4.1582 -3.0768 -5.5680 4.1582 3.0768" Properties=species:S:1:pos:R:3 pbc="T T T"
Rh 4.2329 5.6519 0.0933
Rh 1.9478 7.0622 -0.2795
Rh 2.2649 1.4937 -0.4923
Rh 8.4457 5.4124 -0.6785
Bi 12.5307 2.9856 -2.1369
Rh 10.9550 4.0898 -0.0493
Bi 0.4649 5.3307 1.3389
Rh 8.7627 2.6645 -0.8913
Rh 10.7307 6.8226 -0.3057
Rh 4.5500 2.9040 -0.1195
H -1.4666 2.9243 2.0118
H 2.3964 2.9243 0.6660
Bi 6.0329 4.8319 -1.7379
H 10.5992 5.3921 -1.4640
Rh 11.0478 1.2542 -0.5185
Rh 2.9705 4.0898 1.9290
Bi 6.9627 3.4845 0.9399
H 14.4622 5.3921 -2.8098
Rh 2.0407 4.2266 -0.7488
Rh 10.0251 4.2266 -2.7270
```

***

Of them, <P> has the lowest stability.